Entry 1:
Here is a relaxed LiGdCdTe3 crystal from the Open Quantum Materials Database. Energies are from PBE.

Computed properties:
The value obtained for the final energy is -3.77 eV per atom. As for the mass density: 5.61 Mg/m³.

Geometry as POSCAR:
```
LiGdCdTe3
1.0
-0.4739 -1.4157 8.2470
-0.4055 -4.3259 -0.7659
10.6445 -0.6103 -2.1891
Li Te Gd Cd
2 6 2 2
Direct
0.3122 0.7500 0.8710 Li
0.6878 0.2500 0.1290 Li
0.4434 0.7500 0.1427 Te
0.9194 0.7500 0.1482 Te
0.2317 0.2500 0.4513 Te
0.7683 0.7500 0.5487 Te
0.0806 0.2500 0.8518 Te
0.5566 0.2500 0.8573 Te
0.8233 0.7500 0.8516 Gd
0.1767 0.2500 0.1484 Gd
0.4213 0.7500 0.3985 Cd
0.5787 0.2500 0.6015 Cd
```

=====

Entry 2:
Here is a relaxed LiGdCdTe3 crystal from the Open Quantum Materials Database. Energies are from PBE.

Computed properties:
The value obtained for the final energy is -3.73 eV per atom. As for the mass density: 5.85 Mg/m³.

Geometry as POSCAR:
```
LiGdCdTe3
1.0
-6.8899 9.4431 5.2242
-0.3711 -2.3024 3.6723
11.2655 5.6351 4.6716
Li Te Cd Gd
4 12 4 4
Direct
0.4910 0.0000 0.6136 Li
0.9910 0.5000 0.8864 Li
0.0090 0.0000 0.1136 Li
0.5090 0.5000 0.3864 Li
0.0764 0.0000 0.5786 Te
0.1433 0.0000 0.9360 Te
0.8622 0.0000 0.7796 Te
0.6433 0.5000 0.5640 Te
0.8567 0.5000 0.0640 Te
0.6378 0.0000 0.2796 Te
0.3567 0.0000 0.4360 Te
0.3622 0.5000 0.7204 Te
0.5764 0.5000 0.9214 Te
0.4236 0.0000 0.0786 Te
0.1378 0.5000 0.2204 Te
0.9236 0.5000 0.4214 Te
0.7171 0.5000 0.7658 Cd
0.7829 0.5000 0.2658 Cd
0.2171 0.0000 0.7342 Cd
0.2829 0.0000 0.2342 Cd
0.1749 0.5000 0.4463 Gd
0.3251 0.5000 0.9463 Gd
0.6749 0.0000 0.0537 Gd
0.8251 0.0000 0.5537 Gd
```

=====

Entry 3:
Here is a relaxed LiGdCdTe3 crystal from the Open Quantum Materials Database. Energies are from PBE.

Computed properties:
The value obtained for the final energy is -3.73 eV per atom. As for the mass density: 6.01 Mg/m³.

Geometry as POSCAR:
```
LiGdCdTe3
1.0
-1.5818 -7.3028 0.9368
1.4216 -7.0679 -2.1759
8.4005 -0.7874 8.0461
Gd Cd Te Li
2 2 6 2
Direct
0.0000 0.0000 0.5000 Gd
0.0000 0.0000 0.0000 Gd
0.5207 0.5207 0.7500 Cd
0.4793 0.4793 0.2500 Cd
0.3539 0.3539 0.0653 Te
0.6461 0.6461 0.5653 Te
0.8946 0.8946 0.7500 Te
0.6461 0.6461 0.9347 Te
0.3539 0.3539 0.4347 Te
0.1054 0.1054 0.2500 Te
0.7879 0.7879 0.2500 Li
0.2121 0.2121 0.7500 Li
```

=====

Entry 4:
Here is a relaxed Gd2Lu3Cd3 crystal from the Open Quantum Materials Database. Energies are from PBE.

Computed properties:
The value obtained for the final energy is -3.30 eV per atom. As for the mass density: 9.01 Mg/m³. Its energy relative to the elements is -0.848 eV per formula unit.

Geometry as POSCAR:
```
Gd2Lu3Cd3
1.0
-3.5322 4.1957 0.5087
-4.3563 -4.0255 2.9535
0.4180 -0.4480 6.5977
Gd Cd Lu
2 3 3
Direct
0.5000 0.6864 0.6864 Gd
0.0000 0.3303 0.3303 Gd
0.5000 0.6387 0.2028 Cd
0.5000 0.2028 0.6387 Cd
0.0000 0.8375 0.8375 Cd
0.0000 0.3292 0.8300 Lu
0.5000 0.1451 0.1451 Lu
0.0000 0.8300 0.3292 Lu
```

=====

Entry 5:
Here is a relaxed Gd2Lu3Cd3 crystal from the Open Quantum Materials Database. Energies are from PBE.

Computed properties:
The value obtained for the final energy is -3.36 eV per atom. As for the mass density: 9.22 Mg/m³. Its energy relative to the elements is -1.293 eV per formula unit.

Geometry as POSCAR:
```
Gd2Lu3Cd3
1.0
-5.7924 2.9591 1.4801
-1.5006 -4.3375 2.7991
5.1460 0.9133 4.1741
Cd Lu Gd
3 3 2
Direct
0.6684 0.0000 0.8459 Cd
0.8445 0.5000 0.6636 Cd
0.1586 0.0000 0.3301 Cd
0.8403 0.5000 0.1558 Lu
0.1495 0.0000 0.8389 Lu
0.3294 0.5000 0.1596 Lu
0.6621 0.0000 0.3517 Gd
0.3472 0.5000 0.6544 Gd
```

=====

Entry 6:
Here is a relaxed Gd2Lu3Cd3 crystal from the Open Quantum Materials Database. Energies are from PBE.

Computed properties:
The value obtained for the final energy is -3.28 eV per atom. As for the mass density: 9.04 Mg/m³. Its energy relative to the elements is -0.694 eV per formula unit.

Geometry as POSCAR:
```
Gd2Lu3Cd3
1.0
6.8270 0.0000 0.0000
-3.4135 5.9124 0.0000
0.0000 0.0000 5.3546
Lu Cd Gd
3 3 2
Direct
0.5001 0.0002 0.0000 Lu
0.9998 0.4999 0.0000 Lu
0.5001 0.4999 0.0000 Lu
0.1727 0.3455 0.5000 Cd
0.6545 0.8273 0.5000 Cd
0.1727 0.8273 0.5000 Cd
0.0000 0.0000 0.0000 Gd
0.6667 0.3333 0.5000 Gd
```

=====

Entry 7:
Here is a relaxed GdLu2Cd crystal from the Open Quantum Materials Database. Energies are from PBE.

Computed properties:
The value obtained for the final energy is -3.70 eV per atom. As for the mass density: 9.28 Mg/m³. Its energy relative to the elements is -0.214 eV per formula unit.

Geometry as POSCAR:
```
GdLu2Cd
1.0
5.4201 0.0000 0.0000
0.0000 3.5424 5.7742
0.0000 -3.5424 5.7742
Gd Lu Cd
2 4 2
Direct
0.5000 0.6586 0.6586 Gd
0.0000 0.3411 0.3411 Gd
0.5000 0.1612 0.1612 Lu
0.5000 0.6624 0.1632 Lu
0.0000 0.8448 0.8448 Lu
0.5000 0.1632 0.6624 Lu
0.0000 0.3251 0.8436 Cd
0.0000 0.8436 0.3251 Cd
```

=====

Entry 8:
Here is a relaxed GdLu2Cd crystal from the Open Quantum Materials Database. Energies are from PBE.

Computed properties:
The value obtained for the final energy is -3.76 eV per atom. As for the mass density: 9.40 Mg/m³. Its energy relative to the elements is -0.425 eV per formula unit.

Geometry as POSCAR:
```
GdLu2Cd
1.0
3.4062 -5.9441 0.0000
3.4062 5.9441 0.0000
0.0000 0.0000 5.4073
Lu Cd Gd
4 2 2
Direct
0.1719 0.3374 0.7500 Lu
0.8281 0.6626 0.2500 Lu
0.6626 0.8281 0.7500 Lu
0.3374 0.1719 0.2500 Lu
0.3360 0.6640 0.2500 Cd
0.6640 0.3360 0.7500 Cd
0.8259 0.1741 0.2500 Gd
0.1741 0.8259 0.7500 Gd
```

=====

What is the final energy in the seventh record? -3.70 eV per atom